[1]
6
Lattice="2.987 -5.191 0.000 2.987 5.191 0.000 -1.988 0.000 5.664" Properties=species:S:1:pos:R:3 comment="Tb2Sc, optimized geometry, DFT PBE-GGA" mass_density_g_cm3=6.861 crystal_system=monoclinic formation_enthalpy_0k_ev_per_atom=0.046 e_tot_ev_per_atom=-5.15 spacegroup="No. 15" polymorph_energy_mev_per_atom=1 vol_a3_per_cell=175.6 pbc="T T T"
Tb 1.496 4.330 4.248
Tb 2.490 2.566 1.416
Tb 1.496 -2.566 4.248
Tb 2.490 -4.330 1.416
Sc 1.496 0.841 4.248
Sc 2.490 -0.841 1.416


[2]
4
Lattice="0.000 3.613 3.613 3.613 0.000 3.613 3.613 3.613 0.000" Properties=species:S:1:pos:R:3 comment="Ca2RhBr, optimized geometry, DFT PBE-GGA" mass_density_g_cm3=4.630 crystal_system=cubic e_tot_ev_per_atom=-3.38 spacegroup="No. 216" polymorph_energy_mev_per_atom=803 formation_energy_uncorrected_ev_per_atom=-0.12 vol_a3_per_cell=94.3 pbc="T T T"
Ca 0.000 0.000 0.000
Ca 1.806 1.806 1.806
Rh 3.613 3.613 3.613
Br 5.419 5.419 5.419


[3]
16
Lattice="7.740 0.000 0.000 0.000 7.253 0.000 -7.728 0.000 13.473" Properties=species:S:1:pos:R:3 comment="BaSr2Cu, optimized geometry, DFT PBE-GGA" mass_density_g_cm3=3.303 crystal_system=monoclinic formation_enthalpy_0k_ev_per_atom=0.008 e_tot_ev_per_atom=-2.34 spacegroup="No. 14" polymorph_energy_mev_per_atom=10 vol_a3_per_cell=756.3 pbc="T T T"
Ba -0.546 1.806 3.372
Ba -4.410 1.820 10.108
Ba 4.422 5.433 3.365
Ba 0.558 5.446 10.101
Sr -3.249 5.391 7.771
Sr 0.615 5.488 1.035
Sr 3.256 1.758 1.040
Sr -0.608 1.868 7.777
Sr 0.620 5.385 5.696
Sr -3.244 5.494 12.432
Sr -0.603 1.765 12.438
Sr 3.261 1.861 5.702
Cu -5.794 0.001 12.336
Cu -1.930 3.625 5.600
Cu 5.806 7.252 1.137
Cu 1.942 3.628 7.873